VASP calculation (PBE) on crystalline AgCNO2 at its relaxed geometry.

E_form (uncorrected)	1.08	eV per atom
total DFT energy (no corrections)	-4.99	eV/atom
calculated volume	51.7	Å³ per cell
crystal system	tetragonal

a b c (Å): 4.573 4.573 2.473
angles (deg): 90.00 90.00 90.00
Space group P4/mmm (No. 123)
Unique sites:
Ag: 0.000 0.000 0.000 (multiplicity 1)
C: 0.500 0.500 0.500 (multiplicity 1)
N: 0.500 0.500 0.000 (multiplicity 1)
O: 0.000 0.500 0.500 (multiplicity 2)